No. 1
A plane-wave DFT calculation with PBE-GGA was carried out for an optimized crystal structure of KLaPb2.

Its offset from the most stable computed form is 191.6 meV per atom.

The space group is R-3m (No. 166, hexagonal axes) and the conventional cell measures 3.8002, 3.8002 and 34.0140 Å, with angles of 90.00, 90.00 and 120.00 degrees. The distinct sites, in fractional coordinates, are K at (0.0000, 0.0000, 0.0000), La at (0.0000, 0.0000, 0.5000) and Pb at (0.0000, 0.0000, 0.2464).



No. 2
A plane-wave DFT calculation with PBE-GGA was carried out for an optimized crystal structure of KLaPb2.

Its offset from the most stable computed form is 322.9 meV per atom.

The space group is Cmm2 (No. 35) and the conventional cell measures 5.171, 6.069 and 10.048 Å, with angles of 90.00, 90.00 and 90.00 degrees. The distinct sites, in fractional coordinates, are K at (0.000, 0.000, 0.000), La at (0.000, 0.500, 0.364), Pb at (0.000, 0.000, 0.557) and Pb at (0.000, 0.500, 0.734).



No. 3
A plane-wave DFT calculation with PBE-GGA was carried out for an optimized crystal structure of KLaPb2.

Its offset from the most stable computed form is 0.0 meV per atom.

The space group is P2/m (No. 10) and the conventional cell measures 3.728, 4.903 and 7.867 Å, with angles of 90.00, 90.16 and 90.00 degrees. The distinct sites, in fractional coordinates, are K at (0.000, 0.000, 0.000), La at (0.000, 0.000, 0.500) and Pb at (0.499, 0.500, 0.296).



No. 4
A plane-wave DFT calculation with PBE-GGA was carried out for an optimized crystal structure of K2LaRuPb.

The total energy is -3.20 eV per atom.

The space group is P4/mmm (No. 123) and the conventional cell measures 5.684, 5.684 and 5.421 Å, with angles of 90.00, 90.00 and 90.00 degrees. The distinct sites, in fractional coordinates, are K at (0.000, 0.500, 0.000), La at (0.000, 0.000, 0.500), Ru at (0.500, 0.500, 0.000) and Pb at (0.500, 0.500, 0.500).



No. 5
A plane-wave DFT calculation with PBE-GGA was carried out for an optimized crystal structure of KLa2RuPb.

The total energy is -4.91 eV per atom.

The space group is P4/mmm (No. 123) and the conventional cell measures 5.549, 5.549 and 5.518 Å, with angles of 90.00, 90.00 and 90.00 degrees. The distinct sites, in fractional coordinates, are K at (0.000, 0.000, 0.000), La at (0.000, 0.500, 0.500), Ru at (0.500, 0.500, 0.500) and Pb at (0.500, 0.500, 0.000).



No. 6
A plane-wave DFT calculation with PBE-GGA was carried out for an optimized crystal structure of K2LaPbS4.

The uncorrected formation energy is -10.07 eV/f.u.

The space group is Imma (No. 74) and the conventional cell measures 8.595, 8.684 and 12.209 Å, with angles of 90.00, 90.00 and 90.00 degrees. The distinct sites, in fractional coordinates, are K at (0.000, 0.000, 0.000), K at (0.250, 0.250, 0.250), La at (0.000, 0.000, 0.500), Pb at (0.250, 0.250, 0.750), S at (0.000, 0.025, 0.739) and S at (0.225, 0.250, 0.512).



No. 7
A plane-wave DFT calculation with PBE-GGA was carried out for an optimized crystal structure of KLaSbPb2.

The uncorrected formation energy is 3.50 eV/f.u.

The space group is P4/mmm (No. 123) and the conventional cell measures 6.129, 6.129 and 6.436 Å, with angles of 90.00, 90.00 and 90.00 degrees. The distinct sites, in fractional coordinates, are K at (0.000, 0.000, 0.000), La at (0.000, 0.000, 0.500), Sb at (0.500, 0.500, 0.000) and Pb at (0.000, 0.500, 0.500).



No. 8
A plane-wave DFT calculation with PBE-GGA was carried out for an optimized crystal structure of KLaPbSe3.

The uncorrected formation energy is -7.91 eV/f.u.

The space group is P2_1/m (No. 11) and the conventional cell measures 9.169, 4.369 and 11.143 Å, with angles of 90.00, 96.56 and 90.00 degrees. The distinct sites, in fractional coordinates, are K at (0.146, 0.250, 0.156), La at (0.372, 0.750, 0.850), Pb at (0.149, 0.250, 0.581), Se at (0.134, 0.250, 0.835), Se at (0.346, 0.750, 0.578) and Se at (0.405, 0.750, 0.123).



No. 9
A plane-wave DFT calculation with PBE-GGA was carried out for an optimized crystal structure of KLa2Pb3Se6.

The uncorrected formation energy is -13.92 eV/f.u.

The space group is C2/m (No. 12) and the conventional cell measures 19.070, 4.556 and 8.735 Å, with angles of 90.00, 101.50 and 90.00 degrees. The distinct sites, in fractional coordinates, are K at (0.000, 0.000, 0.000), La at (0.167, 0.500, 0.326), Pb at (0.000, 0.000, 0.500), Pb at (0.160, 0.500, 0.850), Se at (0.010, 0.500, 0.267), Se at (0.169, 0.000, 0.565) and Se at (0.177, 0.000, 0.091).



No. 10
A plane-wave DFT calculation with PBE-GGA was carried out for an optimized crystal structure of KLaPb2Se4.

The uncorrected formation energy is -9.13 eV/f.u.

The space group is P2/m (No. 10) and the conventional cell measures 7.658, 4.426 and 7.666 Å, with angles of 90.00, 108.55 and 90.00 degrees. The distinct sites, in fractional coordinates, are K at (0.000, 0.000, 0.000), La at (0.000, 0.500, 0.500), Pb at (0.500, 0.000, 0.500), Pb at (0.500, 0.500, 0.000), Se at (0.244, 0.000, 0.735) and Se at (0.253, 0.500, 0.270).



No. 11
A plane-wave DFT calculation with PBE-GGA was carried out for an optimized crystal structure of KLaSi2Pb.

The uncorrected formation energy is 3.09 eV/f.u.

The space group is P4/mmm (No. 123) and the conventional cell measures 5.686, 5.686 and 6.149 Å, with angles of 90.00, 90.00 and 90.00 degrees. The distinct sites, in fractional coordinates, are K at (0.000, 0.000, 0.000), La at (0.500, 0.500, 0.500), Si at (0.000, 0.500, 0.500) and Pb at (0.500, 0.500, 0.000).



No. 12
A plane-wave DFT calculation with PBE-GGA was carried out for an optimized crystal structure of KLaSnPb2.

The total energy is -2.92 eV per atom.

The space group is P4/mmm (No. 123) and the conventional cell measures 5.723, 5.723 and 5.726 Å, with angles of 90.00, 90.00 and 90.00 degrees. The distinct sites, in fractional coordinates, are K at (0.000, 0.000, 0.000), La at (0.500, 0.500, 0.500), Sn at (0.000, 0.000, 0.500) and Pb at (0.000, 0.500, 0.000).